Entry 1:
Material: Nb3HgI
Method: DFT, meta-GGA SCAN
State: PBEsol geometry

Cell lengths 4.959, 4.959, 4.959 Å; angles 90.00, 90.00, 90.00 degrees
Space group Pm-3m (No. 221)
Unique sites:
Nb  0.000  0.000  0.500 (multiplicity 3)
Hg  0.500  0.500  0.500 (multiplicity 1)
I  0.000  0.000  0.000 (multiplicity 1)

Total energy, eV/atom: -39.2066



Entry 2:
Material: SmAs2Pd3
Method: DFT, meta-GGA SCAN
State: PBEsol geometry

Cell lengths 16.502, 4.052, 9.912 Å; angles 90.00, 107.77, 90.00 degrees
Space group C2/m (No. 12)
Unique sites:
Sm  0.000  0.000  0.000 (multiplicity 2)
Sm  0.153  0.000  0.699 (multiplicity 4)
As  0.038  0.500  0.788 (multiplicity 4)
As  0.137  0.500  0.455 (multiplicity 4)
As  0.199  0.000  0.131 (multiplicity 4)
Pd  0.000  0.500  0.500 (multiplicity 2)
Pd  0.042  0.000  0.334 (multiplicity 4)
Pd  0.123  0.500  0.200 (multiplicity 4)
Pd  0.179  0.500  0.966 (multiplicity 4)
Pd  0.220  0.000  0.390 (multiplicity 4)

Total energy, eV/atom: -31.4500



Entry 3:
Material: CaSi
Method: DFT, meta-GGA SCAN
State: PBEsol geometry

Cell lengths 4.8017, 4.8017, 5.0287 Å; angles 90.00, 90.00, 120.00 degrees
Space group P6_3/mmc (No. 194)
Unique sites:
Ca  0.3333  0.6667  0.2500 (multiplicity 2)
Si  0.0000  0.0000  0.0000 (multiplicity 2)

Total energy, eV/atom: -10.1240



Entry 4:
Material: YMoPt2
Method: DFT, meta-GGA SCAN
State: PBEsol geometry

Cell lengths 2.8920, 2.8920, 28.5657 Å; angles 90.00, 90.00, 120.00 degrees
Space group R3m (No. 160, hexagonal axes)
Unique sites:
Y  0.0000  0.0000  0.0000 (multiplicity 3)
Mo  0.0000  0.0000  0.2384 (multiplicity 3)
Pt  0.0000  0.0000  0.4991 (multiplicity 3)
Pt  0.0000  0.0000  0.7513 (multiplicity 3)

Relative energy among the computed polymorphs, meV per atom: 524



Entry 5:
Material: CrFeP
Method: DFT, meta-GGA SCAN
State: PBEsol geometry

Cell lengths 5.664, 3.495, 6.467 Å; angles 90.00, 90.00, 90.00 degrees
Space group Pnma (No. 62)
Unique sites:
Cr  0.024  0.250  0.171 (multiplicity 4)
Fe  0.144  0.250  0.562 (multiplicity 4)
P  0.236  0.750  0.377 (multiplicity 4)

Total energy, eV/atom: -16.1567



Entry 6:
Material: Ca2ZrSiN
Method: DFT, meta-GGA SCAN
State: PBEsol geometry

Cell lengths 5.280, 5.280, 4.985 Å; angles 90.00, 90.00, 90.00 degrees
Space group P4/mmm (No. 123)
Unique sites:
Ca  0.000  0.500  0.000 (multiplicity 2)
Zr  0.000  0.000  0.500 (multiplicity 1)
Si  0.000  0.000  0.000 (multiplicity 1)
N  0.500  0.500  0.500 (multiplicity 1)

Total energy, eV/atom: -12.9370



Entry 7:
Material: Bi3SbW2O12
Method: DFT, meta-GGA SCAN
State: PBEsol geometry

Cell lengths 5.437, 5.451, 8.702 Å; angles 108.13, 90.14, 90.41 degrees
Space group P1 (No. 1)
Unique sites:
Bi  0.000  0.000  0.000 (multiplicity 1)
Bi  0.047  0.355  0.686 (multiplicity 1)
Bi  0.498  0.852  0.685 (multiplicity 1)
Sb  0.555  0.491  0.986 (multiplicity 1)
W  0.020  0.718  0.341 (multiplicity 1)
W  0.520  0.219  0.340 (multiplicity 1)
O  0.104  0.892  0.559 (multiplicity 1)
O  0.254  0.713  0.840 (multiplicity 1)
O  0.260  0.480  0.302 (multiplicity 1)
O  0.269  0.983  0.298 (multiplicity 1)
O  0.296  0.217  0.843 (multiplicity 1)
O  0.438  0.390  0.558 (multiplicity 1)
O  0.600  0.182  0.125 (multiplicity 1)
O  0.753  0.698  0.842 (multiplicity 1)
O  0.765  0.025  0.383 (multiplicity 1)
O  0.768  0.528  0.386 (multiplicity 1)
O  0.786  0.210  0.846 (multiplicity 1)
O  0.936  0.671  0.124 (multiplicity 1)

Total energy, eV/atom: -28.7979



Entry 8:
Material: Tl2FeIr
Method: DFT, meta-GGA SCAN
State: PBEsol geometry

Cell lengths 4.024, 3.813, 9.909 Å; angles 90.00, 90.00, 90.00 degrees
Space group Amm2 (No. 38)
Unique sites:
Tl  0.000  0.000  0.000 (multiplicity 2)
Tl  0.500  0.000  0.303 (multiplicity 2)
Fe  0.500  0.000  0.583 (multiplicity 2)
Ir  0.000  0.000  0.716 (multiplicity 2)

Relative energy among the computed polymorphs, meV per atom: 167



Entry 9:
Material: Ce2Al41Mo3
Method: DFT, meta-GGA SCAN
State: PBEsol geometry

Cell lengths 10.3112, 10.3112, 25.0492 Å; angles 90.00, 90.00, 120.00 degrees
Space group R-3m (No. 166, hexagonal axes)
Unique sites:
Ce  0.0000  0.0000  0.1254 (multiplicity 6)
Al  0.0000  0.0000  0.0000 (multiplicity 3)
Al  0.0000  0.0000  0.5000 (multiplicity 3)
Al  0.0000  0.5000  0.5000 (multiplicity 9)
Al  0.0015  0.2660  0.9408 (multiplicity 36)
Al  0.0202  0.5101  0.1852 (multiplicity 18)
Al  0.0889  0.1778  0.2356 (multiplicity 18)
Al  0.0912  0.1823  0.4214 (multiplicity 18)
Al  0.0927  0.1855  0.6701 (multiplicity 18)
Mo  0.0000  0.5000  0.0000 (multiplicity 9)

Total energy, eV/atom: -11.3022



Entry 10:
Material: PPbSe3
Method: DFT, meta-GGA SCAN
State: PBEsol geometry

Cell lengths 6.917, 7.595, 11.644 Å; angles 90.00, 124.59, 90.00 degrees
Space group P2_1/c (No. 14)
Unique sites:
P  0.124  0.109  0.064 (multiplicity 4)
Pb  0.216  0.611  0.251 (multiplicity 4)
Se  0.114  0.690  0.946 (multiplicity 4)
Se  0.279  0.207  0.954 (multiplicity 4)
Se  0.379  0.504  0.772 (multiplicity 4)

Total energy, eV/atom: -29.6410